# Tb2PrRh2 | the Alexandria database | PBE-GGA | relaxed
# Energy of formation, eV per atom: -0.529
# Total magnetization, μB/atom: 0.00
# E, Ry/atom: -0.4614
data_Tb2PrRh2
_cell_length_a 6.431
_cell_length_b 6.429
_cell_length_c 6.697
_cell_angle_alpha 90.00
_cell_angle_beta 114.64
_cell_angle_gamma 90.00
_space_group_name_H-M_alt 'C 1 2/m 1'
_space_group_IT_number 12
loop_
_space_group_symop_operation_xyz
'x,y,z'
'-x,-y,-z'
'-x,y,-z'
'x,-y,z'
'x+1/2,y+1/2,z'
'-x+1/2,-y+1/2,-z'
'-x+1/2,y+1/2,-z'
'x+1/2,-y+1/2,z'
loop_
_atom_site_label
_atom_site_type_symbol
_atom_site_fract_x
_atom_site_fract_y
_atom_site_fract_z
Tb1 Tb 0.000 0.247 0.000
Pr1 Pr 0.000 0.500 0.500
Rh1 Rh 0.132 0.000 0.713